Record 1
Crystalline CoIr4Br at its relaxed geometry, computed with PBE.

Structure (POSCAR):
```
CoIr4Br
1.0
1.732 -4.948 -0.026
-2.197 -3.530 -3.194
2.671 -1.821 -4.128
Ir Co Br
4 1 1
Direct
0.877 0.374 0.374
0.374 0.374 0.374
0.374 0.877 0.374
0.374 0.374 0.877
0.000 0.000 0.000
0.750 0.750 0.750
```

Output
- total DFT energy (no corrections) (eV per cell) = -37.421
- SG = F-43m (216)
- formation energy without anion corrections (kJ per mole of atoms) = 109.4

---

Record 2
Crystalline Pm3In at its relaxed geometry, computed with PBE.

Structure (POSCAR):
```
Pm3In
1.0
3.615 0.000 0.000
0.000 5.616 0.000
0.000 0.000 6.101
In Pm
1 3
Direct
0.000 0.500 0.334
0.000 0.000 0.008
0.500 0.500 0.851
0.500 0.000 0.475
```

Output
- formation enthalpy at 0 K (eV per atom) = -0.17
- total DFT energy (no corrections) (eV per cell) = -17.690
- energy above the lowest structure with this stoichiometry (meV/atom) = 99
- SG = Pmm2 (25)

---

Record 3
Crystalline YTm5Pb5 at its relaxed geometry, computed with PBE.

Structure (POSCAR):
```
YTm5Pb5
1.0
-4.020 -2.858 -3.784
1.973 -4.761 6.607
-5.426 4.122 2.651
Tm Pb Y
5 5 1
Direct
0.344 0.688 0.662
0.000 0.000 0.500
0.665 0.329 0.836
0.335 0.671 0.164
0.656 0.312 0.338
0.832 0.663 0.658
0.170 0.340 0.822
0.830 0.660 0.178
0.500 0.000 0.000
0.168 0.337 0.342
0.000 0.000 0.000
```

Output
- formation enthalpy at 0 K (eV per atom) = -0.23
- total DFT energy (no corrections) (eV per cell) = -49.852
- SG = C2/m (12)

---

Record 4
Crystalline Pm3GaSn2 at its relaxed geometry, computed with PBE.

Structure (POSCAR):
```
Pm3GaSn2
1.0
-1.881 -2.377 3.312
9.586 2.342 7.124
-5.668 10.364 4.219
Pm Ga Sn
12 4 8
Direct
0.250 0.703 0.216
0.750 0.558 0.623
0.250 0.122 0.552
0.250 0.058 0.877
0.750 0.297 0.784
0.750 0.622 0.948
0.250 0.797 0.716
0.750 0.942 0.123
0.250 0.378 0.052
0.250 0.442 0.377
0.750 0.203 0.284
0.750 0.878 0.448
0.750 0.865 0.867
0.250 0.365 0.633
0.250 0.135 0.133
0.750 0.635 0.367
0.750 0.311 0.511
0.250 0.811 0.989
0.250 0.689 0.489
0.750 0.189 0.011
0.750 0.496 0.189
0.250 0.996 0.311
0.750 0.004 0.689
0.250 0.504 0.811
```

Output
- formation enthalpy at 0 K (eV per atom) = -0.69
- total DFT energy (no corrections) (eV per cell) = -117.736
- energy above the lowest structure with this stoichiometry (meV/atom) = 0
- SG = Pnma (62)